## SrMnTc2O8 (PBE+U)

Data for a geometry-optimized SrMnTc2O8 structure.

As for the total energy: -7.490 eV per atom. The total magnetization comes out at 0.5861 μB per atom. For the density of states at the Fermi level, the calculation gives 9.66 states/eV/cell.

The space group is P-3m1 (No. 164) and the conventional cell measures 5.8086, 5.8086 and 6.9886 Å, with angles of 90.00, 90.00 and 120.00 degrees. Symmetry generates all atoms from Sr at (0.0000, 0.0000, 0.0000), Mn at (0.0000, 0.0000, 0.5000), Tc at (0.3333, 0.6667, 0.7751), O at (0.1613, 0.3226, 0.7040) and O at (0.3333, 0.6667, 0.0277).